VASP calculation (PBEsol) on a geometry-optimized ZrFe4Cu structure.

CIF file:
```
data_ZrFe4Cu
_chemical_formula_sum 'Zr4 Fe16 Cu4'
_symmetry_space_group_name_H-M 'F -4 3 m'
_symmetry_Int_Tables_number 216
_symmetry_space_group_name_Hall 'F -4 2 3'
_cell_length_a 6.687
_cell_length_b 6.687
_cell_length_c 6.687
_cell_angle_alpha 90.00
_cell_angle_beta 90.00
_cell_angle_gamma 90.00
loop_
_atom_site_label
_atom_site_type_symbol
_atom_site_fract_x
_atom_site_fract_y
_atom_site_fract_z
_atom_site_occupancy
Zr1 Zr 0.000 0.000 0.000 1
Fe1 Fe 0.124 0.124 0.624 1
Cu1 Cu 0.250 0.250 0.250 1
```

Energy of formation from the pure elements (kJ/mol of atoms): -7.6
DOS at the Fermi energy (states/eV per cell): 29.74
M_tot (μB/atom): 1.021
Energy (eV per atom): -8.292



VASP calculation (PBEsol) on a geometry-optimized Ba2ScTi2BiO9 structure.

CIF file:
```
data_Ba2ScTi2BiO9
_chemical_formula_sum 'Ba4 Sc2 Ti4 Bi2 O18'
_symmetry_space_group_name_H-M 'C m m m'
_symmetry_Int_Tables_number 65
_symmetry_space_group_name_Hall '-C 2 2'
_cell_length_a 5.694
_cell_length_b 16.848
_cell_length_c 3.995
_cell_angle_alpha 90.00
_cell_angle_beta 90.00
_cell_angle_gamma 90.00
loop_
_atom_site_label
_atom_site_type_symbol
_atom_site_fract_x
_atom_site_fract_y
_atom_site_fract_z
_atom_site_occupancy
Ba1 Ba 0.000 0.167 0.000 1
Sc1 Sc 0.000 0.000 0.500 1
Ti1 Ti 0.000 0.334 0.500 1
Bi1 Bi 0.000 0.500 0.000 1
O1 O 0.000 0.000 0.000 1
O2 O 0.000 0.337 0.000 1
O3 O 0.230 0.417 0.500 1
O4 O 0.250 0.250 0.500 1
```

DOS at the Fermi energy (states/eV per cell): 0.00
M_tot (μB/atom): 0.000
ΔE_f (raw) (eV/atom): -2.82
Energy (eV per atom): -8.094



VASP calculation (PBEsol) on a geometry-optimized ZrCu2P structure.

CIF file:
```
data_ZrCu2P
_chemical_formula_sum 'Zr1 Cu2 P1'
_symmetry_space_group_name_H-M 'P 4/m m m'
_symmetry_Int_Tables_number 123
_symmetry_space_group_name_Hall '-P 4 2'
_cell_length_a 3.682
_cell_length_b 3.682
_cell_length_c 4.196
_cell_angle_alpha 90.00
_cell_angle_beta 90.00
_cell_angle_gamma 90.00
loop_
_atom_site_label
_atom_site_type_symbol
_atom_site_fract_x
_atom_site_fract_y
_atom_site_fract_z
_atom_site_occupancy
Zr1 Zr 0.000 0.000 0.000 1
Cu1 Cu 0.000 0.500 0.500 1
P1 P 0.500 0.500 0.000 1
```

Energy of formation from the pure elements (kJ/mol of atoms): -42.8
DOS at the Fermi energy (states/eV per cell): 1.47
M_tot (μB/atom): 0.000
Energy (eV per atom): -6.331



VASP calculation (PBEsol) on a geometry-optimized BeAsN2O structure.

CIF file:
```
data_BeAsN2O
_chemical_formula_sum 'Be1 As1 N2 O1'
_symmetry_space_group_name_H-M 'P 4/m m m'
_symmetry_Int_Tables_number 123
_symmetry_space_group_name_Hall '-P 4 2'
_cell_length_a 3.673
_cell_length_b 3.673
_cell_length_c 3.629
_cell_angle_alpha 90.00
_cell_angle_beta 90.00
_cell_angle_gamma 90.00
loop_
_atom_site_label
_atom_site_type_symbol
_atom_site_fract_x
_atom_site_fract_y
_atom_site_fract_z
_atom_site_occupancy
Be1 Be 0.000 0.000 0.000 1
As1 As 0.500 0.500 0.500 1
N1 N 0.000 0.500 0.500 1
O1 O 0.500 0.500 0.000 1
```

DOS at the Fermi energy (states/eV per cell): 2.68
M_tot (μB/atom): 0.000
ΔE_f (raw) (eV/atom): 0.87
Energy (eV per atom): -5.408